DFT (GGA-PBE) results for a relaxed structure of YMg2CdSn.

Unit cell a=5.8221 b=5.8221 c=5.6758 alpha=90.00 beta=90.00 gamma=90.00
Last column: nearest neighbours and their distance in Å.
Fractional positions:
1 Y 0.0000 0.0000 0.0000  2 Cd 2.84, 4 Mg 2.91
2 Mg 0.0000 0.5000 0.0000  2 Y 2.91
3 Mg 0.5000 0.0000 0.0000  2 Y 2.91
4 Cd 0.0000 0.0000 0.5000  2 Y 2.84
5 Sn 0.5000 0.5000 0.5000  8 Mg 4.07, 4 Cd 4.12

ΔH_f (0 K), eV/f.u.: 4.63
DFT total energy, eV per cell: -9.95
Density, g cm⁻³: 3.2
Symmetry: No. 123
Size of the total moment, μB/f.u.: 0.00
Crystal system: tetragonal

=====

DFT (GGA-PBE) results for a relaxed structure of ZnTeRh4.

Unit cell a=5.2138 b=5.2138 c=5.2138 alpha=60.00 beta=60.00 gamma=60.00
Last column: nearest neighbours and their distance in Å.
Fractional positions:
1 Zn 0.0000 0.0000 0.0000  12 Rh 3.06, 4 Te 3.19
2 Te 0.2500 0.2500 0.2500  12 Rh 3.06, 4 Zn 3.19
3 Rh 0.1243 0.6252 0.6252  6 Rh 2.60-2.61
4 Rh 0.6252 0.1243 0.6252  6 Rh 2.60-2.61
5 Rh 0.6252 0.6252 0.1243  6 Rh 2.60-2.61
6 Rh 0.6252 0.6252 0.6252  6 Rh 2.60-2.61

Raw formation energy, eV per formula unit: 1.28
DFT total energy, eV per cell: -32.54
Density, g cm⁻³: 10.0
Symmetry: No. 216
Size of the total moment, μB/f.u.: 0.00
Crystal system: cubic